Crystalline Ac2TlAgSe5 at its relaxed geometry, computed with PBE.

The structure belongs to space group Cmc2_1 (No. 36); the cell edges are 4.365, 18.718 and 12.514 Å and the angles 90.00°, 90.00° and 90.00°. The distinct sites, in fractional coordinates, are Ac at (0.000, 0.124, 0.000), Ac at (0.000, 0.126, 0.621), Tl at (0.000, 0.420, 0.785), Ag at (0.000, 0.236, 0.368), Se at (0.000, 0.037, 0.395), Se at (0.000, 0.297, 0.982), Se at (0.000, 0.305, 0.655), Se at (0.000, 0.369, 0.311) and Se at (0.000, 0.496, 0.591).

As for the formation energy without anion corrections: -1.18 eV/atom. The value obtained for the spin magnetization is 0.0 μB/f.u.

=====

Crystalline AcTl2AgSe4 at its relaxed geometry, computed with PBE.

The structure belongs to space group Cmcm (No. 63); the cell edges are 4.503, 15.690 and 13.995 Å and the angles 90.00°, 90.00° and 90.00°. The distinct sites, in fractional coordinates, are Ac at (0.000, 0.073, 0.250), Tl at (0.000, 0.374, 0.041), Ag at (0.000, 0.155, 0.750), Se at (0.000, 0.000, 0.000), Se at (0.000, 0.309, 0.658) and Se at (0.000, 0.434, 0.250).

As for the formation energy without anion corrections: -0.76 eV/atom. The value obtained for the spin magnetization is 0.0 μB/f.u.

=====

Crystalline Ac2UAgSe5 at its relaxed geometry, computed with PBE.

The structure belongs to space group Cmc2_1 (No. 36); the cell edges are 4.299, 18.074 and 12.834 Å and the angles 90.00°, 90.00° and 90.00°. The distinct sites, in fractional coordinates, are Ac at (0.000, 0.112, 0.000), Ac at (0.000, 0.126, 0.622), U at (0.000, 0.196, 0.322), Ag at (0.000, 0.447, 0.764), Se at (0.000, 0.047, 0.378), Se at (0.000, 0.291, 0.976), Se at (0.000, 0.307, 0.665), Se at (0.000, 0.357, 0.315) and Se at (0.000, 0.496, 0.078).

As for the formation energy without anion corrections: -1.44 eV/atom. The value obtained for the spin magnetization is 2.8 μB/f.u.

=====

Crystalline Ac2SiAg3 at its relaxed geometry, computed with PBE.

The structure belongs to space group Pmm2 (No. 25); the cell edges are 4.306, 4.549 and 8.257 Å and the angles 90.00°, 90.00° and 90.00°. The distinct sites, in fractional coordinates, are Ac at (0.000, 0.000, 0.000), Ac at (0.000, 0.500, 0.468), Si at (0.500, 0.000, 0.313), Ag at (0.500, 0.000, 0.630), Ag at (0.500, 0.500, 0.162) and Ag at (0.500, 0.500, 0.823).

As for the formation energy without anion corrections: -0.37 eV/atom. The value obtained for the spin magnetization is 0.0 μB/f.u. The energy relative to the lowest polymorph listed for this composition comes out at 4 meV per atom.

=====

Crystalline Ac2SiAg3 at its relaxed geometry, computed with PBE.

The structure belongs to space group Fmmm (No. 69); the cell edges are 8.284, 9.435 and 16.348 Å and the angles 90.00°, 90.00° and 90.00°. The distinct sites, in fractional coordinates, are Ac at (0.242, 0.000, 0.000), Ac at (0.250, 0.250, 0.250), Si at (0.000, 0.000, 0.335), Ag at (0.000, 0.000, 0.173) and Ag at (0.000, 0.240, 0.414).

As for the formation energy without anion corrections: -0.37 eV/atom. The value obtained for the spin magnetization is 0.0 μB/f.u. The energy relative to the lowest polymorph listed for this composition comes out at 0 meV per atom.

=====

Crystalline Ac3Si4Ag4 at its relaxed geometry, computed with PBE.

The structure belongs to space group Immm (No. 71); the cell edges are 4.628, 7.258 and 15.240 Å and the angles 90.00°, 90.00° and 90.00°. The distinct sites, in fractional coordinates, are Ac at (0.000, 0.000, 0.000), Ac at (0.000, 0.500, 0.132), Si at (0.000, 0.000, 0.216), Si at (0.000, 0.170, 0.500) and Ag at (0.000, 0.309, 0.336).

As for the formation energy without anion corrections: -0.41 eV/atom. The value obtained for the spin magnetization is 0.0 μB/f.u. The energy relative to the lowest polymorph listed for this composition comes out at 34 meV per atom.

=====

Crystalline Ac3Si2Ag3 at its relaxed geometry, computed with PBE.

The structure belongs to space group Cmcm (No. 63); the cell edges are 4.517, 11.839 and 16.577 Å and the angles 90.00°, 90.00° and 90.00°. The distinct sites, in fractional coordinates, are Ac at (0.000, 0.091, 0.250), Ac at (0.000, 0.370, 0.089), Si at (0.000, 0.329, 0.612), Ag at (0.000, 0.089, 0.057) and Ag at (0.000, 0.198, 0.750).

As for the formation energy without anion corrections: -0.40 eV/atom. The value obtained for the spin magnetization is 0.0 μB/f.u.

=====

Crystalline Ac2Si3Ag2 at its relaxed geometry, computed with PBE.

The structure belongs to space group Cmcm (No. 63); the cell edges are 4.701, 19.240 and 7.175 Å and the angles 90.00°, 90.00° and 90.00°. The distinct sites, in fractional coordinates, are Ac at (0.000, 0.053, 0.250), Ac at (0.000, 0.158, 0.750), Si at (0.000, 0.222, 0.250), Si at (0.000, 0.445, 0.080) and Ag at (0.000, 0.317, 0.556).

As for the formation energy without anion corrections: -0.48 eV/atom. The value obtained for the spin magnetization is 0.0 μB/f.u.

=====

Crystalline AcSi2Ag3 at its relaxed geometry, computed with PBE.

The structure belongs to space group C2/m (No. 12); the cell edges are 16.212, 4.361 and 7.828 Å and the angles 90.00°, 114.98° and 90.00°. The distinct sites, in fractional coordinates, are Ac at (0.152, 0.000, 0.073), Si at (0.018, 0.500, 0.161), Si at (0.190, 0.000, 0.687), Ag at (0.041, 0.000, 0.367), Ag at (0.101, 0.500, 0.697) and Ag at (0.183, 0.500, 0.439).

As for the formation energy without anion corrections: -0.28 eV/atom. The value obtained for the spin magnetization is 0.0 μB/f.u.

=====

Crystalline Ac6Si2Ag at its relaxed geometry, computed with PBE.

The structure belongs to space group Immm (No. 71); the cell edges are 10.685, 10.706 and 10.995 Å and the angles 90.00°, 90.00° and 90.00°. The distinct sites, in fractional coordinates, are Ac at (0.000, 0.201, 0.176), Ac at (0.174, 0.232, 0.500), Ac at (0.198, 0.500, 0.254), Si at (0.000, 0.000, 0.391), Si at (0.130, 0.000, 0.000), Ag at (0.000, 0.500, 0.000) and Ag at (0.000, 0.500, 0.500).

As for the formation energy without anion corrections: -0.30 eV/atom. The value obtained for the spin magnetization is 0.0 μB/f.u.

=====

Crystalline Ac4Si2Ag at its relaxed geometry, computed with PBE.

The structure belongs to space group I-42d (No. 122); the cell edges are 9.613, 9.613 and 9.928 Å and the angles 90.00°, 90.00° and 90.00°. The distinct sites, in fractional coordinates, are Ac at (0.072, 0.181, 0.317), Si at (0.122, 0.250, 0.625) and Ag at (0.000, 0.000, 0.000).

As for the formation energy without anion corrections: -0.38 eV/atom. The value obtained for the spin magnetization is 0.0 μB/f.u.

=====

Crystalline Ac12Si5Ag at its relaxed geometry, computed with PBE.

The structure belongs to space group Immm (No. 71); the cell edges are 10.636, 10.653 and 10.964 Å and the angles 90.00°, 90.00° and 90.00°. The distinct sites, in fractional coordinates, are Ac at (0.000, 0.199, 0.239), Ac at (0.205, 0.500, 0.177), Ac at (0.233, 0.325, 0.500), Si at (0.000, 0.000, 0.000), Si at (0.000, 0.380, 0.000), Si at (0.000, 0.500, 0.390) and Ag at (0.000, 0.000, 0.500).

As for the formation energy without anion corrections: -0.33 eV/atom. The value obtained for the spin magnetization is 0.0 μB/f.u.

=====

Crystalline Ac3Si4Ag4 at its relaxed geometry, computed with PBE.

The structure belongs to space group P-1 (No. 2); the cell edges are 4.473, 4.499 and 13.318 Å and the angles 99.70°, 99.66° and 90.00°. The distinct sites, in fractional coordinates, are Ac at (0.000, 0.000, 0.000), Ac at (0.350, 0.850, 0.701), Si at (0.194, 0.694, 0.387), Si at (0.453, 0.454, 0.906), Ag at (0.095, 0.595, 0.191) and Ag at (0.249, 0.250, 0.500).

As for the formation energy without anion corrections: -0.45 eV/atom. The value obtained for the spin magnetization is 0.0 μB/f.u. The energy relative to the lowest polymorph listed for this composition comes out at 0 meV per atom.

=====

Crystalline Ac5Si2Ag at its relaxed geometry, computed with PBE.

The structure belongs to space group I4/mcm (No. 140); the cell edges are 8.136, 8.136 and 16.104 Å and the angles 90.00°, 90.00° and 90.00°. The distinct sites, in fractional coordinates, are Ac at (0.000, 0.000, 0.000), Ac at (0.174, 0.326, 0.141), Si at (0.110, 0.390, 0.500) and Ag at (0.000, 0.000, 0.250).

As for the formation energy without anion corrections: -0.36 eV/atom. The value obtained for the spin magnetization is 0.0 μB/f.u.

=====

Crystalline AcSiAg2 at its relaxed geometry, computed with PBE.

The structure belongs to space group P4/mmm (No. 123); the cell edges are 3.827, 3.827 and 6.661 Å and the angles 90.00°, 90.00° and 90.00°. The distinct sites, in fractional coordinates, are Ac at (0.000, 0.000, 0.000), Si at (0.000, 0.000, 0.500) and Ag at (0.500, 0.500, 0.293).

As for the formation energy without anion corrections: 0.11 eV/atom. The value obtained for the spin magnetization is 0.0 μB/f.u.

=====

Crystalline Ac2SiAg5 at its relaxed geometry, computed with PBE.

The structure belongs to space group Cmcm (No. 63); the cell edges are 4.752, 17.076 and 9.651 Å and the angles 90.00°, 90.00° and 90.00°. The distinct sites, in fractional coordinates, are Ac at (0.000, 0.000, 0.000), Ac at (0.000, 0.202, 0.250), Si at (0.000, 0.442, 0.750), Ag at (0.000, 0.184, 0.607), Ag at (0.000, 0.355, 0.530) and Ag at (0.000, 0.408, 0.250).

As for the formation energy without anion corrections: -0.28 eV/atom. The value obtained for the spin magnetization is 0.0 μB/f.u.

=====

Crystalline Ac2Si2Ag at its relaxed geometry, computed with PBE.

The structure belongs to space group C2/m (No. 12); the cell edges are 11.640, 4.595 and 11.401 Å and the angles 90.00°, 118.18° and 90.00°. The distinct sites, in fractional coordinates, are Ac at (0.107, 0.000, 0.409), Ac at (0.215, 0.500, 0.151), Si at (0.034, 0.000, 0.916), Si at (0.107, 0.500, 0.608) and Ag at (0.058, 0.500, 0.818).

As for the formation energy without anion corrections: -0.51 eV/atom. The value obtained for the spin magnetization is 0.0 μB/f.u.

=====

Crystalline Ac3Si4Ag at its relaxed geometry, computed with PBE.

The structure belongs to space group Immm (No. 71); the cell edges are 4.790, 5.956 and 15.879 Å and the angles 90.00°, 90.00° and 90.00°. The distinct sites, in fractional coordinates, are Ac at (0.000, 0.000, 0.000), Ac at (0.000, 0.500, 0.190), Si at (0.000, 0.300, 0.381) and Ag at (0.000, 0.000, 0.500).

As for the formation energy without anion corrections: -0.40 eV/atom. The value obtained for the spin magnetization is 0.0 μB/f.u.

=====

Crystalline Ac6Si3Ag at its relaxed geometry, computed with PBE.

The structure belongs to space group P2_1/c (No. 14); the cell edges are 7.637, 8.574 and 13.029 Å and the angles 90.00°, 122.89° and 90.00°. The distinct sites, in fractional coordinates, are Ac at (0.059, 0.074, 0.246), Ac at (0.230, 0.683, 0.078), Ac at (0.401, 0.174, 0.071), Si at (0.000, 0.000, 0.000), Si at (0.318, 0.117, 0.762) and Ag at (0.500, 0.000, 0.500).

As for the formation energy without anion corrections: -0.29 eV/atom. The value obtained for the spin magnetization is 0.0 μB/f.u.